# 1
The following is a DFT calculation (PBE) of Ir6Os2Pt after structural relaxation.

Unit cell a=6.890 b=4.622 c=9.980 alpha=90.00 beta=97.97 gamma=90.00
Space group P2_1/c (No. 14)
One atom of each set of equivalent atoms:
1 Ir 0.095 0.249 0.262 (multiplicity 4)
2 Ir 0.255 0.732 0.869 (multiplicity 4)
3 Ir 0.386 0.236 0.964 (multiplicity 4)
4 Os 0.431 0.071 0.209 (multiplicity 4)
5 Pt 0.000 0.000 0.000 (multiplicity 2)

Properties
**E_tot**: -153.950 eV/cell
**DFT formation energy**: 521 meV per atom
**Total moment**: 0.00 Bohr magnetons per cell

***

# 2
The following is a DFT calculation (PBE) of Na4HSe after structural relaxation.

Unit cell a=4.722 b=4.722 c=6.713 alpha=90.00 beta=90.00 gamma=90.00
Space group P4/mmm (No. 123)
One atom of each set of equivalent atoms:
1 Na 0.000 0.500 0.236 (multiplicity 4)
2 H 0.000 0.000 0.000 (multiplicity 1)
3 Se 0.500 0.500 0.500 (multiplicity 1)

Properties
**E_tot**: -14.454 eV/cell
**Total moment**: 0.00 Bohr magnetons per cell

***

# 3
The following is a DFT calculation (PBE) of Pr12Sm7Ho after structural relaxation.

Unit cell a=12.4484 b=12.4484 c=15.9393 alpha=90.00 beta=90.00 gamma=120.00
Space group R-3 (No. 148, hexagonal axes)
One atom of each set of equivalent atoms:
1 Pr 0.0221 0.4456 0.2209 (multiplicity 18)
2 Pr 0.0593 0.5913 0.5804 (multiplicity 18)
3 Sm 0.0000 0.0000 0.0000 (multiplicity 3)
4 Sm 0.0557 0.1868 0.2986 (multiplicity 18)
5 Ho 0.0000 0.0000 0.5000 (multiplicity 3)

Properties
**E_tot**: -271.869 eV/cell
**ΔE to the lowest computed polymorph**: 0.005 eV/atom
**DFT formation energy**: 217 meV per atom
**Total moment**: 0.00 Bohr magnetons per cell

***

# 4
The following is a DFT calculation (PBE) of Cs2BiO2 after structural relaxation.

Unit cell a=7.668 b=6.389 c=12.960 alpha=90.00 beta=90.00 gamma=90.00
Space group Pnma (No. 62)
One atom of each set of equivalent atoms:
1 Cs 0.139 0.250 0.141 (multiplicity 4)
2 Cs 0.190 0.250 0.829 (multiplicity 4)
3 Bi 0.122 0.250 0.498 (multiplicity 4)
4 O 0.179 0.750 0.110 (multiplicity 4)
5 O 0.242 0.750 0.858 (multiplicity 4)

Properties
**Formation energy (no corrections)**: -1.14 eV per atom
**E_tot**: -84.912 eV/cell
**Total moment**: 0.00 Bohr magnetons per cell